No. 1
Crystalline MgAs2CBr at its relaxed geometry, computed with PBE.

a b c (Å): 5.0902 5.0902 5.0318
angles (deg): 90.00 90.00 90.00
Closest atoms and distances in Å follow each position.
Fractional coordinates of all 5 atoms:
Mg (0.0000, 0.0000, 0.0000)  2 Br 2.52, 4 As 2.55
As (0.0000, 0.5000, 0.0000)  2 Mg 2.55
As (0.5000, 0.0000, 0.0000)  2 Mg 2.55
C (0.5000, 0.5000, 0.5000)  8 As 3.58, 4 Br 3.60
Br (0.0000, 0.0000, 0.5000)  2 Mg 2.52

Total magnetization, μB per cell: 0.81
ΔE_f (raw), eV per atom: 1.711
Energy relative to the lowest polymorph listed for this composition, meV per atom: 957

***

No. 2
Crystalline GdErMgTc at its relaxed geometry, computed with PBE.

a b c (Å): 5.0289 5.0289 5.0289
angles (deg): 60.00 60.00 60.00
Closest atoms and distances in Å follow each position.
Fractional coordinates of all 4 atoms:
Gd (0.0000, 0.0000, 0.0000)  4 Tc 3.08, 4 Mg 3.08
Er (0.5000, 0.5000, 0.5000)  4 Tc 3.08, 4 Mg 3.08
Mg (0.2500, 0.2500, 0.2500)  4 Gd 3.08, 4 Er 3.08
Tc (0.7500, 0.7500, 0.7500)  4 Gd 3.08, 4 Er 3.08

Total magnetization, μB per cell: 7.14
E_form, eV per atom: -0.01

***

No. 3
Crystalline TbPmDy5Tm2 at its relaxed geometry, computed with PBE.

a b c (Å): 10.2885 10.2885 10.5142
angles (deg): 90.00 90.00 148.50
Closest atoms and distances in Å follow each position.
Fractional coordinates of all 18 atoms:
Tb (0.1995, 0.8005, 0.5000)  2 Tm 3.39-3.64, 8 Dy 3.47-3.76, 2 Pm 3.66
Tb (0.8005, 0.1995, 0.0000)  2 Tm 3.39-3.64, 8 Dy 3.47-3.76, 2 Pm 3.66
Pm (0.4155, 0.5845, 0.9388)  5 Dy 3.04-3.26
Pm (0.5845, 0.4155, 0.4388)  5 Dy 3.04-3.26
Dy (0.0175, 0.9825, 0.5123)  2 Pm 3.19, 3 Tm 3.38-3.55
Dy (0.2812, 0.7188, 0.7995)  1 Pm 3.04, 1 Tm 3.31, 2 Dy 3.39
Dy (0.2987, 0.7013, 0.1964)  4 Dy 3.39-3.77, 3 Tb 3.47-3.75, 3 Tm 3.48-3.74, 1 Pm 3.56
Dy (0.3891, 0.6109, 0.5116)  6 Dy 3.46-3.78, 4 Tm 3.53-3.58, 1 Tb 3.76
Dy (0.4781, 0.5219, 0.2252)  2 Pm 3.08-3.26, 2 Tm 3.44
Dy (0.5219, 0.4781, 0.7252)  2 Pm 3.08-3.26, 2 Tm 3.44
Dy (0.6109, 0.3891, 0.0116)  6 Dy 3.46-3.78, 4 Tm 3.53-3.58, 1 Tb 3.76
Dy (0.7013, 0.2987, 0.6964)  4 Dy 3.39-3.77, 3 Tb 3.47-3.75, 3 Tm 3.48-3.74, 1 Pm 3.56
Dy (0.7188, 0.2812, 0.2995)  1 Pm 3.04, 1 Tm 3.31, 2 Dy 3.39
Dy (0.9825, 0.0175, 0.0123)  2 Pm 3.19, 3 Tm 3.38-3.55
Tm (0.1106, 0.8894, 0.2240)  7 Dy 3.38-3.74, 1 Tb 3.39, 2 Pm 3.63
Tm (0.1139, 0.8861, 0.8068)  9 Dy 3.31-3.64, 1 Tb 3.64
Tm (0.8861, 0.1139, 0.3068)  9 Dy 3.31-3.64, 1 Tb 3.64
Tm (0.8894, 0.1106, 0.7240)  7 Dy 3.38-3.74, 1 Tb 3.39, 2 Pm 3.63

Total magnetization, μB per cell: 0.00
E_form, eV per atom: 0.16

***

No. 4
Crystalline DyY2Tm3 at its relaxed geometry, computed with PBE.

a b c (Å): 6.1008 7.0514 9.3248
angles (deg): 67.86 89.99 89.99
Closest atoms and distances in Å follow each position.
Fractional coordinates of all 12 atoms:
Dy (0.2500, 0.1243, 0.0000)  8 Tm 3.52-3.53, 2 Dy 3.52, 2 Y 3.52-3.53
Dy (0.7500, 0.8757, 0.0000)  8 Tm 3.52-3.53, 2 Dy 3.52, 2 Y 3.52-3.53
Y (0.0842, 0.2080, 0.3333)  8 Tm 3.51-3.53, 1 Dy 3.52, 3 Y 3.53
Y (0.4158, 0.5413, 0.6667)  8 Tm 3.51-3.53, 3 Y 3.53, 1 Dy 3.53
Y (0.5842, 0.4587, 0.3333)  8 Tm 3.51-3.53, 3 Y 3.53, 1 Dy 3.53
Y (0.9158, 0.7920, 0.6667)  8 Tm 3.51-3.53, 1 Dy 3.52, 3 Y 3.53
Tm (0.0825, 0.7091, 0.3325)  6 Y 3.51-3.53, 2 Dy 3.52, 4 Tm 3.52-3.54
Tm (0.2500, 0.6256, 0.0000)  4 Dy 3.52-3.53, 4 Tm 3.52-3.53, 4 Y 3.52-3.53
Tm (0.4175, 0.0415, 0.6675)  6 Y 3.51-3.53, 2 Dy 3.52, 4 Tm 3.52-3.54
Tm (0.5825, 0.9585, 0.3325)  6 Y 3.51-3.53, 2 Dy 3.52, 4 Tm 3.52-3.54
Tm (0.7500, 0.3744, 0.0000)  4 Dy 3.52-3.53, 4 Tm 3.52-3.53, 4 Y 3.52-3.53
Tm (0.9175, 0.2909, 0.6675)  6 Y 3.51-3.53, 2 Dy 3.52, 4 Tm 3.52-3.54

Total magnetization, μB per cell: 0.00
E_form, eV per atom: 0.03
Energy relative to the lowest polymorph listed for this composition, meV per atom: 0

***

No. 5
Crystalline YHf2Tl2 at its relaxed geometry, computed with PBE.

a b c (Å): 8.2983 8.2983 3.5882
angles (deg): 90.00 90.00 90.00
Closest atoms and distances in Å follow each position.
Fractional coordinates of all 10 atoms:
Y (0.0000, 0.0000, 0.0000)  4 Tl 3.24, 8 Hf 3.57, 2 Y 3.59
Y (0.5000, 0.5000, 0.0000)  4 Tl 3.24, 8 Hf 3.57, 2 Y 3.59
Hf (0.1683, 0.3317, 0.5000)  6 Tl 2.94-3.09
Hf (0.3317, 0.8317, 0.5000)  6 Tl 2.94-3.09
Hf (0.6683, 0.1683, 0.5000)  6 Tl 2.94-3.09
Hf (0.8317, 0.6683, 0.5000)  6 Tl 2.94-3.09
Tl (0.1331, 0.6331, 0.0000)  6 Hf 2.94-3.09, 1 Tl 3.12, 2 Y 3.24
Tl (0.3669, 0.1331, 0.0000)  6 Hf 2.94-3.09, 1 Tl 3.12, 2 Y 3.24
Tl (0.6331, 0.8669, 0.0000)  6 Hf 2.94-3.09, 1 Tl 3.12, 2 Y 3.24
Tl (0.8669, 0.3669, 0.0000)  6 Hf 2.94-3.09, 1 Tl 3.12, 2 Y 3.24

Total magnetization, μB per cell: 0.00
E_form, eV per atom: 0.10
Energy relative to the lowest polymorph listed for this composition, meV per atom: 0

***

No. 6
Crystalline CdBPO2 at its relaxed geometry, computed with PBE.

a b c (Å): 3.4437 3.4437 4.9502
angles (deg): 90.00 90.00 90.00
Closest atoms and distances in Å follow each position.
Fractional coordinates of all 5 atoms:
Cd (0.0000, 0.0000, 0.0000)  4 P 2.44
B (0.5000, 0.5000, 0.5000)  4 O 1.72
P (0.5000, 0.5000, 0.0000)  4 Cd 2.44, 2 B 2.48
O (0.0000, 0.5000, 0.5000)  2 B 1.72
O (0.5000, 0.0000, 0.5000)  2 B 1.72

Total magnetization, μB per cell: 0.20
ΔE_f (raw), eV per atom: 0.168
Energy relative to the lowest polymorph listed for this composition, meV per atom: 0

***

No. 7
Crystalline Cs8Rb6Pd at its relaxed geometry, computed with PBE.

a b c (Å): 11.6724 11.6724 11.6724
angles (deg): 72.47 72.47 72.47
Closest atoms and distances in Å follow each position.
Fractional coordinates of all 15 atoms:
Cs (0.1972, 0.4661, 0.6059)  1 Pd 3.48
Cs (0.2434, 0.2434, 0.2434)  6 Rb 5.14-5.20, 6 Cs 5.36-5.42
Cs (0.3941, 0.8028, 0.5339)  1 Pd 3.48
Cs (0.4661, 0.6059, 0.1972)  1 Pd 3.48
Cs (0.5339, 0.3941, 0.8028)  1 Pd 3.48
Cs (0.6059, 0.1972, 0.4661)  1 Pd 3.48
Cs (0.7566, 0.7566, 0.7566)  6 Rb 5.14-5.20, 6 Cs 5.36-5.42
Cs (0.8028, 0.5339, 0.3941)  1 Pd 3.48
Rb (0.0202, 0.9009, 0.3164)  5 Rb 5.01-5.30, 7 Cs 5.14-5.39
Rb (0.0991, 0.6836, 0.9798)  5 Rb 5.01-5.30, 7 Cs 5.14-5.39
Rb (0.3164, 0.0202, 0.9009)  5 Rb 5.01-5.30, 7 Cs 5.14-5.39
Rb (0.6836, 0.9798, 0.0991)  5 Rb 5.01-5.30, 7 Cs 5.14-5.39
Rb (0.9009, 0.3164, 0.0202)  5 Rb 5.01-5.30, 7 Cs 5.14-5.39
Rb (0.9798, 0.0991, 0.6836)  5 Rb 5.01-5.30, 7 Cs 5.14-5.39
Pd (0.5000, 0.5000, 0.5000)  6 Cs 3.48

Total magnetization, μB per cell: 0.00
E_form, eV per atom: 0.01

***

No. 8
Crystalline CoAg3 at its relaxed geometry, computed with PBE.

a b c (Å): 2.8318 2.8318 8.0723
angles (deg): 90.00 90.00 90.00
Closest atoms and distances in Å follow each position.
Fractional coordinates of all 4 atoms:
Co (0.0000, 0.0000, 0.0000)  8 Ag 2.73, 4 Co 2.83
Ag (0.0000, 0.0000, 0.5000)  12 Ag 2.83-2.96
Ag (0.5000, 0.5000, 0.2306)  4 Co 2.73, 8 Ag 2.83-2.96
Ag (0.5000, 0.5000, 0.7694)  4 Co 2.73, 8 Ag 2.83-2.96

Total magnetization, μB per cell: 1.65
E_form, eV per atom: 0.28

***

No. 9
Crystalline La2CoPd at its relaxed geometry, computed with PBE.

a b c (Å): 3.5706 3.5706 7.2133
angles (deg): 90.00 90.00 90.00
Closest atoms and distances in Å follow each position.
Fractional coordinates of all 4 atoms:
La (0.0000, 0.0000, 0.2328)  4 Co 3.03, 4 Pd 3.18, 1 La 3.36
La (0.0000, 0.0000, 0.7672)  4 Co 3.03, 4 Pd 3.18, 1 La 3.36
Co (0.5000, 0.5000, 0.0000)  8 La 3.03
Pd (0.5000, 0.5000, 0.5000)  8 La 3.18

Total magnetization, μB per cell: 0.00
E_form, eV per atom: -0.37

***

| no. | density (g/cm3) |
| --- | --- |
| 1 | 3.39 |
| 2 | 8.25 |
| 3 | 8.31 |
| 4 | 7.57 |
| 5 | 11.49 |
| 6 | 5.27 |
| 7 | 1.99 |
| 8 | 9.81 |
| 9 | 8.00 |